Here is crystalline Ag2BiClO2 at its relaxed geometry from Alexandria. Energies are from PBE-GGA.

Output
The calculation puts the raw formation energy at -0.5726 eV per atom. As for the raw total energy: -4.13 eV/atom.

Cell: 5.541 5.697 7.821 Å, 90.00 98.12 90.00°
Space group P2_1/m (No. 11)
Unique sites:
Ag1 0.019 0.250 0.222 (multiplicity 2)
Ag2 0.311 0.750 0.104 (multiplicity 2)
Bi1 0.369 0.750 0.574 (multiplicity 2)
Cl1 0.209 0.250 0.926 (multiplicity 2)
O1 0.330 0.000 0.358 (multiplicity 4)